1.
This record from Alexandria via LeMat-Bulk describes crystalline PmAlC at its relaxed geometry. The functional is GGA-PBE.

Calculated values
* calculated formation energy: -0.66 eV/f.u.
* energy above the lowest structure with this stoichiometry: 0 meV/atom
* E: -6.127 eV/atom

CIF file:
```
data_PmAlC
_chemical_formula_sum 'Pm4 Al4 C4'
_space_group_name_H-M_alt 'P 1'
_space_group_IT_number 1
_space_group_name_Hall 'P 1'
_cell_length_a 3.423
_cell_length_b 5.608
_cell_length_c 11.345
_cell_angle_alpha 90.00
_cell_angle_beta 90.00
_cell_angle_gamma 90.00
loop_
_atom_site_label
_atom_site_fract_x
_atom_site_fract_y
_atom_site_fract_z
_atom_site_occupancy
Al1 0.250 0.903 0.916 1
Al2 0.750 0.597 0.416 1
Al3 0.750 0.097 0.084 1
Al4 0.250 0.403 0.584 1
Pm1 0.250 0.578 0.136 1
Pm2 0.250 0.078 0.364 1
Pm3 0.750 0.922 0.636 1
Pm4 0.750 0.422 0.864 1
C1 0.750 0.763 0.003 1
C2 0.750 0.263 0.497 1
C3 0.250 0.737 0.503 1
C4 0.250 0.237 0.997 1
```

2.
This record from Alexandria via LeMat-Bulk describes crystalline OsRuSe at its relaxed geometry. The functional is GGA-PBE.

Calculated values
* energy relative to the elements, uncorrected: 0.42 eV/atom
* energy above the lowest structure with this stoichiometry: 29 meV/atom
* E: -7.581 eV/atom

CIF file:
```
data_OsRuSe
_chemical_formula_sum 'Os1 Ru1 Se1'
_space_group_name_H-M_alt 'P 1'
_space_group_IT_number 1
_space_group_name_Hall 'P 1'
_cell_length_a 2.887
_cell_length_b 2.887
_cell_length_c 6.243
_cell_angle_alpha 90.00
_cell_angle_beta 90.00
_cell_angle_gamma 120.00
loop_
_atom_site_label
_atom_site_fract_x
_atom_site_fract_y
_atom_site_fract_z
_atom_site_occupancy
Ru1 0.333 0.667 0.331 1
Se1 0.667 0.333 0.665 1
Os1 0.000 0.000 0.003 1
```

3.
This record from Alexandria via LeMat-Bulk describes crystalline Sr2ZnH6O6 at its relaxed geometry. The functional is GGA-PBE.

Calculated values
* E: -4.702 eV/atom

CIF file:
```
data_Sr2ZnH6O6
_chemical_formula_sum 'Sr4 Zn2 H12 O12'
_space_group_name_H-M_alt 'P 1'
_space_group_IT_number 1
_space_group_name_Hall 'P 1'
_cell_length_a 6.244
_cell_length_b 6.849
_cell_length_c 8.594
_cell_angle_alpha 67.46
_cell_angle_beta 90.00
_cell_angle_gamma 90.00
loop_
_atom_site_label
_atom_site_fract_x
_atom_site_fract_y
_atom_site_fract_z
_atom_site_occupancy
O1 0.430 0.822 0.830 1
O2 0.930 0.178 0.670 1
O3 0.672 0.163 0.334 1
O4 0.717 0.519 0.397 1
O5 0.070 0.822 0.330 1
O6 0.783 0.519 0.897 1
O7 0.570 0.178 0.170 1
O8 0.283 0.481 0.603 1
O9 0.217 0.481 0.103 1
O10 0.328 0.837 0.666 1
O11 0.828 0.163 0.834 1
O12 0.172 0.837 0.166 1
Zn1 0.500 0.500 0.000 1
Zn2 0.000 0.500 0.500 1
H1 0.207 0.248 0.372 1
H2 0.661 0.840 0.051 1
H3 0.339 0.160 0.949 1
H4 0.791 0.406 0.850 1
H5 0.161 0.160 0.449 1
H6 0.793 0.752 0.628 1
H7 0.209 0.594 0.150 1
H8 0.707 0.752 0.128 1
H9 0.839 0.840 0.551 1
H10 0.709 0.406 0.350 1
H11 0.293 0.248 0.872 1
H12 0.291 0.594 0.650 1
Sr1 0.967 0.178 0.130 1
Sr2 0.467 0.822 0.370 1
Sr3 0.033 0.822 0.870 1
Sr4 0.533 0.178 0.630 1
```

4.
This record from Alexandria via LeMat-Bulk describes crystalline PuMn2Cu at its relaxed geometry. The functional is GGA-PBE.

Calculated values
* calculated formation energy: 0.22 eV/f.u.
* energy above the lowest structure with this stoichiometry: 0 meV/atom
* E: -9.136 eV/atom

CIF file:
```
data_PuMn2Cu
_chemical_formula_sum 'Pu1 Mn2 Cu1'
_space_group_name_H-M_alt 'P 1'
_space_group_IT_number 1
_space_group_name_Hall 'P 1'
_cell_length_a 3.530
_cell_length_b 4.100
_cell_length_c 4.100
_cell_angle_alpha 90.00
_cell_angle_beta 90.00
_cell_angle_gamma 90.00
loop_
_atom_site_label
_atom_site_fract_x
_atom_site_fract_y
_atom_site_fract_z
_atom_site_occupancy
Cu1 0.500 0.500 0.500 1
Mn1 0.000 0.500 0.000 1
Mn2 0.000 0.000 0.500 1
Pu1 0.500 0.000 0.000 1
```

5.
This record from Alexandria via LeMat-Bulk describes crystalline BaTc2Mo at its relaxed geometry. The functional is GGA-PBE.

Calculated values
* calculated formation energy: 2.93 eV/f.u.
* energy above the lowest structure with this stoichiometry: 118 meV/atom
* E: -7.639 eV/atom

CIF file:
```
data_BaTc2Mo
_chemical_formula_sum 'Ba1 Tc2 Mo1'
_space_group_name_H-M_alt 'P 1'
_space_group_IT_number 1
_space_group_name_Hall 'P 1'
_cell_length_a 4.125
_cell_length_b 2.996
_cell_length_c 7.096
_cell_angle_alpha 82.72
_cell_angle_beta 90.00
_cell_angle_gamma 90.00
loop_
_atom_site_label
_atom_site_fract_x
_atom_site_fract_y
_atom_site_fract_z
_atom_site_occupancy
Tc1 0.000 0.015 0.910 1
Tc2 0.000 0.485 0.590 1
Mo1 0.500 0.750 0.750 1
Ba1 0.500 0.250 0.250 1
```

6.
This record from Alexandria via LeMat-Bulk describes crystalline Th3Zn2Os2C3 at its relaxed geometry. The functional is GGA-PBE.

Calculated values
* calculated formation energy: 0.17 eV/f.u.
* E: -7.477 eV/atom

CIF file:
```
data_Th3Zn2Os2C3
_chemical_formula_sum 'Th3 Zn2 Os2 C3'
_space_group_name_H-M_alt 'P 1'
_space_group_IT_number 1
_space_group_name_Hall 'P 1'
_cell_length_a 3.880
_cell_length_b 3.880
_cell_length_c 12.440
_cell_angle_alpha 98.97
_cell_angle_beta 98.97
_cell_angle_gamma 90.00
loop_
_atom_site_label
_atom_site_fract_x
_atom_site_fract_y
_atom_site_fract_z
_atom_site_occupancy
C1 0.898 0.898 0.797 1
C2 0.500 0.500 0.000 1
C3 0.102 0.102 0.203 1
Zn1 0.250 0.750 0.500 1
Zn2 0.750 0.250 0.500 1
Os1 0.821 0.821 0.641 1
Os2 0.179 0.179 0.359 1
Th1 0.387 0.387 0.774 1
Th2 0.000 0.000 0.000 1
Th3 0.613 0.613 0.226 1
```

7.
This record from Alexandria via LeMat-Bulk describes crystalline Li4Tm3MnTe8 at its relaxed geometry. The functional is GGA-PBE.

Calculated values
* energy relative to the elements, uncorrected: -1.04 eV/atom
* E: -4.504 eV/atom

CIF file:
```
data_Li4Tm3MnTe8
_chemical_formula_sum 'Li4 Tm3 Mn1 Te8'
_space_group_name_H-M_alt 'P 1'
_space_group_IT_number 1
_space_group_name_Hall 'P 1'
_cell_length_a 8.475
_cell_length_b 8.540
_cell_length_c 8.476
_cell_angle_alpha 119.76
_cell_angle_beta 120.00
_cell_angle_gamma 90.00
loop_
_atom_site_label
_atom_site_fract_x
_atom_site_fract_y
_atom_site_fract_z
_atom_site_occupancy
Te1 0.236 0.254 0.995 1
Te2 0.241 0.746 0.005 1
Te3 0.759 0.253 0.517 1
Te4 0.752 0.755 0.504 1
Te5 0.759 0.254 0.995 1
Te6 0.764 0.746 0.005 1
Te7 0.241 0.747 0.483 1
Te8 0.248 0.245 0.496 1
Li1 0.000 0.000 0.000 1
Li2 0.500 0.000 0.000 1
Li3 0.000 0.000 0.500 1
Li4 0.500 0.000 0.500 1
Tm1 0.000 0.500 0.500 1
Tm2 0.500 0.500 0.500 1
Tm3 0.500 0.500 0.000 1
Mn1 0.000 0.500 0.000 1
```

8.
This record from Alexandria via LeMat-Bulk describes crystalline YBe2Re4 at its relaxed geometry. The functional is GGA-PBE.

Calculated values
* calculated formation energy: 17.96 eV/f.u.
* E: -6.536 eV/atom

CIF file:
```
data_YBe2Re4
_chemical_formula_sum 'Y1 Be2 Re4'
_space_group_name_H-M_alt 'P 1'
_space_group_IT_number 1
_space_group_name_Hall 'P 1'
_cell_length_a 4.784
_cell_length_b 4.784
_cell_length_c 6.629
_cell_angle_alpha 68.85
_cell_angle_beta 68.85
_cell_angle_gamma 90.00
loop_
_atom_site_label
_atom_site_fract_x
_atom_site_fract_y
_atom_site_fract_z
_atom_site_occupancy
Re1 0.500 0.000 0.000 1
Re2 0.766 0.766 0.468 1
Re3 0.234 0.234 0.532 1
Re4 0.000 0.500 0.000 1
Be1 0.416 0.416 0.167 1
Be2 0.584 0.584 0.833 1
Y1 0.000 0.000 0.000 1
```

9.
This record from Alexandria via LeMat-Bulk describes crystalline PrThPt at its relaxed geometry. The functional is GGA-PBE.

Calculated values
* calculated formation energy: -1.67 eV/f.u.
* energy above the lowest structure with this stoichiometry: 103 meV/atom
* E: -6.636 eV/atom

CIF file:
```
data_PrThPt
_chemical_formula_sum 'Pr1 Th1 Pt1'
_space_group_name_H-M_alt 'P 1'
_space_group_IT_number 1
_space_group_name_Hall 'P 1'
_cell_length_a 5.037
_cell_length_b 5.037
_cell_length_c 5.037
_cell_angle_alpha 60.00
_cell_angle_beta 60.00
_cell_angle_gamma 60.00
loop_
_atom_site_label
_atom_site_fract_x
_atom_site_fract_y
_atom_site_fract_z
_atom_site_occupancy
Th1 0.500 0.500 0.500 1
Pt1 0.250 0.250 0.250 1
Pr1 0.000 0.000 0.000 1
```